*i*
Cd2InCl | PBE | optimized geometry

The structure in POSCAR format:
```
Cd2InCl
1.0
-1.853 2.847 0.598
-3.528 -2.617 1.527
2.397 0.292 6.038
Cl In Cd
1 1 2
direct
0.500 0.500 0.250
0.500 0.500 0.750
0.000 0.000 0.015
0.000 0.000 0.485
```

Results
- space-group type = Pmmm
- total magnetic moment (μB/f.u.) = 0.0
- density (Mg/m³) = 5.97

***

*ii*
Cd2InCl | PBE | optimized geometry

The structure in POSCAR format:
```
Cd2InCl
1.0
5.811 0.001 -0.197
4.855 3.193 -0.197
0.006 0.002 5.545
Cl Cd In
1 2 1
direct
0.504 0.504 0.369
0.737 0.737 0.870
0.002 0.002 0.887
0.257 0.257 0.374
```

Results
- space-group type = Cm
- total magnetic moment (μB/f.u.) = 0.0
- density (Mg/m³) = 6.06

***

*ii* comes first in stability; the runner-up is 93 meV per atom higher.

***

*i*
Cd2InCl | PBE | optimized geometry

The structure in POSCAR format:
```
Cd2InCl
1.0
-0.725 -3.602 -0.552
3.547 -0.569 -0.947
1.674 -1.429 7.127
Cd Cl In
2 1 1
direct
0.500 0.500 0.244
0.000 0.000 0.013
0.000 0.000 0.472
0.500 0.500 0.771
```

Results
- space-group type = P4mm
- total magnetic moment (μB/f.u.) = 0.0
- density (Mg/m³) = 6.05

***

*ii*
Cd2InCl | PBE | optimized geometry

The structure in POSCAR format:
```
Cd2InCl
1.0
-0.245 4.288 -7.392
-1.920 0.993 -8.272
-3.923 3.756 -6.603
Cd Cl In
2 1 1
direct
0.502 0.502 0.502
0.998 0.998 0.998
0.250 0.250 0.250
0.750 0.750 0.750
```

Results
- space-group type = R-3m
- total magnetic moment (μB/f.u.) = 0.0
- density (Mg/m³) = 6.03

***

*ii* comes first in stability; the runner-up is 8 meV per atom higher.

***

*i*
Cd2InCl | PBE | optimized geometry

The structure in POSCAR format:
```
Cd2InCl
1.0
5.740 -0.070 0.000
1.853 5.433 0.000
-3.797 -2.682 3.369
Cl Cd In
1 2 1
direct
0.500 0.500 0.000
0.000 0.000 0.000
0.250 0.750 0.500
0.750 0.250 0.500
```

Results
- space-group type = I-4m2
- total magnetic moment (μB/f.u.) = 0.0
- density (Mg/m³) = 5.90

***

*ii*
Cd2InCl | PBE | optimized geometry

The structure in POSCAR format:
```
Cd2InCl
1.0
6.218 -0.016 0.034
2.689 5.607 -0.034
-3.606 -4.146 2.912
In Cl Cd
1 1 2
direct
0.252 0.752 0.500
0.515 0.515 0.000
0.991 0.991 0.000
0.743 0.243 0.500
```

Results
- space-group type = Imm2
- total magnetic moment (μB/f.u.) = 0.0
- density (Mg/m³) = 6.16

***

*iii*
Cd2InCl | PBE | optimized geometry

The structure in POSCAR format:
```
Cd2InCl
1.0
0.000 3.773 3.773
3.773 0.000 3.773
3.773 3.773 0.000
Cd In Cl
2 1 1
direct
0.750 0.750 0.750
0.250 0.250 0.250
0.500 0.500 0.500
0.000 0.000 0.000
```

Results
- space-group type = Fm-3m
- total magnetic moment (μB/f.u.) = 0.0
- density (Mg/m³) = 5.80

***

*ii* comes first in stability; the runner-up is 17 meV per atom higher.

***

*i*
Cd2InCl | PBE | optimized geometry

The structure in POSCAR format:
```
Cd2InCl
1.0
7.244 0.000 0.000
0.000 7.244 0.000
3.622 3.622 5.188
In Cd Cl
2 4 2
direct
0.750 0.250 0.500
0.000 0.000 0.000
0.375 0.379 0.750
0.621 0.125 0.250
0.129 0.625 0.250
0.875 0.871 0.750
0.500 0.500 0.000
0.250 0.750 0.500
```

Results
- space-group type = I-42d
- total magnetic moment (μB/f.u.) = 0.0
- density (Mg/m³) = 4.58

***

*ii*
Cd2InCl | PBE | optimized geometry

The structure in POSCAR format:
```
Cd2InCl
1.0
-2.169 -2.860 0.053
2.835 -0.375 2.170
-4.594 3.607 6.624
Cl Cd In
1 2 1
direct
0.500 0.500 0.250
0.000 0.000 0.013
0.000 0.000 0.487
0.500 0.500 0.750
```

Results
- space-group type = Cmmm
- total magnetic moment (μB/f.u.) = 0.0
- density (Mg/m³) = 5.93

***

*ii* comes first in stability; the runner-up is 63 meV per atom higher.

***

*i*
Cd2InCl | PBE | optimized geometry

The structure in POSCAR format:
```
Cd2InCl
1.0
5.337 0.000 0.000
2.668 4.622 0.000
2.668 1.541 4.357
Cl Cd In
1 2 1
direct
0.500 0.500 0.500
0.250 0.250 0.250
0.000 0.000 0.000
0.750 0.750 0.750
```

Results
- space-group type = F-43m
- total magnetic moment (μB/f.u.) = 0.0
- density (Mg/m³) = 5.80

***

*ii*
Cd2InCl | PBE | optimized geometry

The structure in POSCAR format:
```
Cd2InCl
1.0
-2.771 3.595 -2.173
-0.726 -2.107 -2.559
-5.629 -4.033 0.506
In Cd Cl
1 2 1
direct
0.500 0.874 0.625
0.500 0.376 0.125
0.000 0.876 0.125
0.000 0.374 0.625
```

Results
- space-group type = Pm
- total magnetic moment (μB/f.u.) = 0.0
- density (Mg/m³) = 5.98

***

*ii* comes first in stability; the runner-up is 106 meV per atom higher.

***

*i*
Cd2InCl | PBE | optimized geometry

The structure in POSCAR format:
```
Cd2InCl
1.0
10.155 0.008 0.005
9.555 3.437 0.005
9.555 1.670 3.004
Cd In Cl
2 1 1
direct
0.246 0.246 0.246
0.992 0.992 0.992
0.743 0.743 0.743
0.519 0.519 0.519
```

Results
- space-group type = R3m
- total magnetic moment (μB/f.u.) = 0.0
- density (Mg/m³) = 5.96

***

*ii*
Cd2InCl | PBE | optimized geometry

The structure in POSCAR format:
```
Cd2InCl
1.0
3.419 -0.094 0.000
-1.438 3.103 0.000
0.000 0.000 9.767
Cl Cd In
1 2 1
direct
0.000 0.000 0.472
0.000 0.000 0.019
0.500 0.500 0.267
0.500 0.500 0.742
```

Results
- space-group type = Cmm2
- total magnetic moment (μB/f.u.) = 0.0
- density (Mg/m³) = 6.09

***

*i* comes first in stability; the runner-up is 36 meV per atom higher.